1.
## CsNpHg2I8 (PBE-GGA)

Data for a relaxed structure of CsNpHg2I8.

```
data_CsNpHg2I8
_cell_length_a 7.8166
_cell_length_b 8.4669
_cell_length_c 10.3237
_cell_angle_alpha 69.68
_cell_angle_beta 82.55
_cell_angle_gamma 88.43
_symmetry_space_group_name_H-M 'P -1'
_symmetry_Int_Tables_number 2
_symmetry_space_group_name_Hall '-P 1'
loop_
_atom_site_label
_atom_site_type_symbol
_atom_site_fract_x
_atom_site_fract_y
_atom_site_fract_z
Cs1 Cs 0.0000 0.0000 0.0000
Np1 Np 0.0000 0.5000 0.5000
Hg1 Hg 0.4755 0.5330 0.8002
I1 I 0.1103 0.4879 0.7867
I2 I 0.1787 0.8373 0.3509
I3 I 0.3302 0.2948 0.4538
I4 I 0.4589 0.7605 0.9719
```

Values from the calculation:
- total DFT energy (no corrections) (eV per atom) = -2.9098
- magnetic moment (μB/f.u.) = 4.03
- crystal system = triclinic
- E_form (uncorrected) (eV/f.u.) = -8.12


2.
## Cs2HgIO (PBE-GGA)

Data for a relaxed structure of Cs2HgIO.

```
data_Cs2HgIO
_cell_length_a 6.4314
_cell_length_b 6.4314
_cell_length_c 4.6268
_cell_angle_alpha 90.00
_cell_angle_beta 90.00
_cell_angle_gamma 90.00
_symmetry_space_group_name_H-M 'P 4/m m m'
_symmetry_Int_Tables_number 123
_symmetry_space_group_name_Hall '-P 4 2'
loop_
_atom_site_label
_atom_site_type_symbol
_atom_site_fract_x
_atom_site_fract_y
_atom_site_fract_z
Cs1 Cs 0.0000 0.5000 0.0000
Hg1 Hg 0.0000 0.0000 0.5000
I1 I 0.5000 0.5000 0.5000
O1 O 0.0000 0.0000 0.0000
```

Values from the calculation:
- total DFT energy (no corrections) (eV per atom) = -2.7119
- magnetic moment (μB/f.u.) = 0.00
- crystal system = tetragonal
- E_form (uncorrected) (eV/f.u.) = -5.04


3.
## CsHgI2O8 (PBE-GGA)

Data for a relaxed structure of CsHgI2O8.

```
data_CsHgI2O8
_cell_length_a 10.9107
_cell_length_b 6.1846
_cell_length_c 7.9152
_cell_angle_alpha 90.00
_cell_angle_beta 115.84
_cell_angle_gamma 90.00
_symmetry_space_group_name_H-M 'C 1 2/m 1'
_symmetry_Int_Tables_number 12
_symmetry_space_group_name_Hall '-C 2y'
loop_
_atom_site_label
_atom_site_type_symbol
_atom_site_fract_x
_atom_site_fract_y
_atom_site_fract_z
Cs1 Cs 0.0000 0.0000 0.0000
Hg1 Hg 0.0000 0.5000 0.5000
I1 I 0.2205 0.0000 0.6684
O1 O 0.0945 0.5000 0.2566
O2 O 0.1457 0.0000 0.4175
O3 O 0.1567 0.2475 0.7338
```

Values from the calculation:
- total DFT energy (no corrections) (eV per atom) = -4.0257
- magnetic moment (μB/f.u.) = 0.00
- crystal system = monoclinic
- E_form (uncorrected) (eV/f.u.) = -4.39